1.
# Pm6DyMg | the Alexandria database | PBE | optimized geometry
data_Pm6DyMg
_space_group_name_H-M_alt 'I 4/m m m'
_space_group_IT_number 139
_space_group_name_Hall '-I 4 2'
_cell_length_a 5.084
_cell_length_b 5.084
_cell_length_c 20.206
_cell_angle_alpha 90.00
_cell_angle_beta 90.00
_cell_angle_gamma 90.00
loop_
_atom_site_label
_atom_site_fract_x
_atom_site_fract_y
_atom_site_fract_z
Pm1 0.000 0.000 0.248
Pm2 0.000 0.500 0.121
Dy1 0.000 0.000 0.000
Mg1 0.000 0.000 0.500
# ΔE to the lowest computed polymorph = 0 meV/atom
# DOS(E_F) = 22.1 states/eV/cell
# E_form = 0.014 eV per atom
# theoretical density = 6.7 Mg/m³
# total energy = -4.3240 eV/atom

2.
# PmDy6Mg | the Alexandria database | PBE | optimized geometry
data_PmDy6Mg
_space_group_name_H-M_alt 'P 4/m m m'
_space_group_IT_number 123
_space_group_name_Hall '-P 4 2'
_cell_length_a 4.979
_cell_length_b 4.979
_cell_length_c 9.972
_cell_angle_alpha 90.00
_cell_angle_beta 90.00
_cell_angle_gamma 90.00
loop_
_atom_site_label
_atom_site_fract_x
_atom_site_fract_y
_atom_site_fract_z
Pm1 0.000 0.000 0.000
Dy1 0.000 0.500 0.254
Dy2 0.500 0.500 0.000
Dy3 0.500 0.500 0.500
Mg1 0.000 0.000 0.500
# ΔE to the lowest computed polymorph = 0 meV/atom
# DOS(E_F) = 11.7 states/eV/cell
# E_form = 0.024 eV per atom
# theoretical density = 7.7 Mg/m³
# total energy = -4.2203 eV/atom

3.
# Pm6DyMg2 | the Alexandria database | PBE | optimized geometry
data_Pm6DyMg2
_space_group_name_H-M_alt 'C 1 2/m 1'
_space_group_IT_number 12
_space_group_name_Hall '-C 2y'
_cell_length_a 16.766
_cell_length_b 3.512
_cell_length_c 11.914
_cell_angle_alpha 90.00
_cell_angle_beta 123.54
_cell_angle_gamma 90.00
loop_
_atom_site_label
_atom_site_fract_x
_atom_site_fract_y
_atom_site_fract_z
Pm1 0.049 0.000 0.249
Pm2 0.128 0.500 0.054
Pm3 0.229 0.000 0.611
Dy1 0.000 0.000 0.500
Mg1 0.152 0.500 0.790
# DOS(E_F) = 29.2 states/eV/cell
# E_form = 0.111 eV per atom
# theoretical density = 6.1 Mg/m³
# total energy = -3.9214 eV/atom

4.
# Pm6DyMg5 | the Alexandria database | PBE | optimized geometry
data_Pm6DyMg5
_space_group_name_H-M_alt 'P 1 2/m 1'
_space_group_IT_number 10
_space_group_name_Hall '-P 2y'
_cell_length_a 5.497
_cell_length_b 7.779
_cell_length_c 8.750
_cell_angle_alpha 90.00
_cell_angle_beta 108.24
_cell_angle_gamma 90.00
loop_
_atom_site_label
_atom_site_fract_x
_atom_site_fract_y
_atom_site_fract_z
Pm1 0.000 0.239 0.000
Pm2 0.332 0.247 0.659
Dy1 0.500 0.500 0.000
Mg1 0.159 0.500 0.323
Mg2 0.164 0.000 0.334
Mg3 0.500 0.000 0.000
# DOS(E_F) = 13.5 states/eV/cell
# E_form = -0.055 eV per atom
# theoretical density = 5.4 Mg/m³
# total energy = -3.4778 eV/atom

5.
# Pm2Dy4Mg | the Alexandria database | PBE | optimized geometry
data_Pm2Dy4Mg
_space_group_name_H-M_alt 'C 1 2/m 1'
_space_group_IT_number 12
_space_group_name_Hall '-C 2y'
_cell_length_a 6.531
_cell_length_b 11.606
_cell_length_c 6.348
_cell_angle_alpha 90.00
_cell_angle_beta 112.44
_cell_angle_gamma 90.00
loop_
_atom_site_label
_atom_site_fract_x
_atom_site_fract_y
_atom_site_fract_z
Pm1 0.199 0.000 0.325
Dy1 0.213 0.211 0.742
Mg1 0.000 0.500 0.000
# ΔE to the lowest computed polymorph = 0 meV/atom
# DOS(E_F) = 19.7 states/eV/cell
# E_form = 0.125 eV per atom
# theoretical density = 7.2 Mg/m³
# total energy = -4.0902 eV/atom

6.
# Pm2Dy12Mg | the Alexandria database | PBE | optimized geometry
data_Pm2Dy12Mg
_space_group_name_H-M_alt 'C 1 2/m 1'
_space_group_IT_number 12
_space_group_name_Hall '-C 2y'
_cell_length_a 7.016
_cell_length_b 11.310
_cell_length_c 24.347
_cell_angle_alpha 90.00
_cell_angle_beta 97.86
_cell_angle_gamma 90.00
loop_
_atom_site_label
_atom_site_fract_x
_atom_site_fract_y
_atom_site_fract_z
Pm1 0.020 0.000 0.266
Pm2 0.023 0.500 0.285
Dy1 0.072 0.272 0.934
Dy2 0.097 0.259 0.444
Dy3 0.123 0.000 0.106
Dy4 0.147 0.500 0.148
Dy5 0.156 0.000 0.580
Dy6 0.170 0.500 0.568
Dy7 0.210 0.250 0.673
Dy8 0.221 0.281 0.807
Mg1 0.220 0.500 0.016
# DOS(E_F) = 81.1 states/eV/cell
# E_form = 0.105 eV per atom
# theoretical density = 7.9 Mg/m³
# total energy = -4.3162 eV/atom

7.
# PmDy8Mg2 | the Alexandria database | PBE | optimized geometry
data_PmDy8Mg2
_space_group_name_H-M_alt 'C 1 2/m 1'
_space_group_IT_number 12
_space_group_name_Hall '-C 2y'
_cell_length_a 16.623
_cell_length_b 5.298
_cell_length_c 8.345
_cell_angle_alpha 90.00
_cell_angle_beta 114.55
_cell_angle_gamma 90.00
loop_
_atom_site_label
_atom_site_fract_x
_atom_site_fract_y
_atom_site_fract_z
Pm1 0.000 0.000 0.000
Dy1 0.055 0.500 0.735
Dy2 0.100 0.000 0.472
Dy3 0.149 0.500 0.206
Dy4 0.188 0.000 0.951
Mg1 0.226 0.500 0.630
# ΔE to the lowest computed polymorph = 0 meV/atom
# DOS(E_F) = 31.7 states/eV/cell
# E_form = 0.018 eV per atom
# theoretical density = 7.4 Mg/m³
# total energy = -4.0508 eV/atom

8.
# PmDy14Mg | the Alexandria database | PBE | optimized geometry
data_PmDy14Mg
_space_group_name_H-M_alt 'A m m 2'
_space_group_IT_number 38
_space_group_name_Hall 'A 2 -2'
_cell_length_a 11.420
_cell_length_b 7.084
_cell_length_c 12.292
_cell_angle_alpha 90.00
_cell_angle_beta 90.00
_cell_angle_gamma 90.00
loop_
_atom_site_label
_atom_site_fract_x
_atom_site_fract_y
_atom_site_fract_z
Pm1 0.000 0.000 0.000
Dy1 0.000 0.247 0.754
Dy2 0.247 0.000 0.337
Dy3 0.249 0.250 0.087
Dy4 0.254 0.000 0.837
Dy5 0.500 0.000 0.170
Dy6 0.500 0.000 0.669
Dy7 0.500 0.249 0.420
Mg1 0.000 0.000 0.504
# DOS(E_F) = 41.2 states/eV/cell
# E_form = 0.007 eV per atom
# theoretical density = 8.2 Mg/m³
# total energy = -4.4166 eV/atom

What did the eighth record say?
# PmDy14Mg | the Alexandria database | PBE | optimized geometry
data_PmDy14Mg
_space_group_name_H-M_alt 'A m m 2'
_space_group_IT_number 38
_space_group_name_Hall 'A 2 -2'
_cell_length_a 11.420
_cell_length_b 7.084
_cell_length_c 12.292
_cell_angle_alpha 90.00
_cell_angle_beta 90.00
_cell_angle_gamma 90.00
loop_
_atom_site_label
_atom_site_fract_x
_atom_site_fract_y
_atom_site_fract_z
Pm1 0.000 0.000 0.000
Dy1 0.000 0.247 0.754
Dy2 0.247 0.000 0.337
Dy3 0.249 0.250 0.087
Dy4 0.254 0.000 0.837
Dy5 0.500 0.000 0.170
Dy6 0.500 0.000 0.669
Dy7 0.500 0.249 0.420
Mg1 0.000 0.000 0.504
# DOS(E_F) = 41.2 states/eV/cell
# E_form = 0.007 eV per atom
# theoretical density = 8.2 Mg/m³
# total energy = -4.4166 eV/atom

What is the theoretical density in the fifth record?
7.2 Mg/m³